Below is crystalline Zr6RuN at its relaxed geometry, with properties calculated at the PBE-GGA level.

Lattice parameters (Å, degrees): 5.092 5.876 5.770 82.22 90.77 66.61
Sites, in units of the cell vectors:
Zr: 0.064 0.343 0.786
Zr: 0.761 0.987 0.674
Zr: 0.606 0.261 0.134
Zr: 0.239 0.013 0.326
Zr: 0.936 0.657 0.214
Zr: 0.394 0.739 0.866
Ru: 0.500 0.500 0.500
N: 0.000 0.000 0.000

Results
As for the density: 7.03 g/cm³. Its density of states at the Fermi level is 5.6 states/eV per cell. The space group is P-1 (2). Its formation energy from raw total energies is -0.5548 eV/atom.

=====

Below is crystalline YCo2Cu at its relaxed geometry, with properties calculated at the PBE-GGA level.

Lattice parameters (Å, degrees): 3.980 3.150 5.235 75.56 90.00 90.00
Sites, in units of the cell vectors:
Co: 0.000 0.038 0.083
Co: 0.500 0.313 0.212
Cu: 0.000 0.383 0.474
Y: 0.500 0.767 0.730

Results
As for the density: 7.06 g/cm³. The polymorph energy (0 for the lowest one) is 0.268 eV/atom. For the formation energy, the calculation gives 0.1611 eV/atom. Its density of states at the Fermi level is 3.1 states/eV per cell. The space group is Pm (6).

=====

Below is crystalline K3TeO3 at its relaxed geometry, with properties calculated at the PBE-GGA level.

Lattice parameters (Å, degrees): 5.580 8.493 8.492 119.94 90.00 90.00
Sites, in units of the cell vectors:
K: 0.250 0.656 0.828
K: 0.250 0.172 0.344
K: 0.250 0.172 0.829
K: 0.750 0.344 0.172
K: 0.750 0.828 0.656
K: 0.750 0.828 0.171
Te: 0.750 0.333 0.667
Te: 0.250 0.667 0.333
O: 0.750 0.610 0.805
O: 0.750 0.195 0.390
O: 0.750 0.195 0.806
O: 0.250 0.390 0.195
O: 0.250 0.805 0.610
O: 0.250 0.805 0.194

Results
As for the density: 2.79 g/cm³. Its density of states at the Fermi level is 1.9 states/eV per cell. The space group is Cmcm (63). Its formation energy from raw total energies is -1.2046 eV/atom.

=====

Below is crystalline NaSnS at its relaxed geometry, with properties calculated at the PBE-GGA level.

Lattice parameters (Å, degrees): 5.365 7.666 7.666 90.00 90.00 90.00
Sites, in units of the cell vectors:
S: 0.000 0.500 0.784
S: 0.500 0.216 0.500
S: 0.500 0.784 0.500
S: 0.000 0.500 0.216
Na: 0.000 0.731 0.500
Na: 0.500 0.500 0.731
Na: 0.500 0.500 0.269
Na: 0.000 0.269 0.500
Sn: 0.000 0.778 0.000
Sn: 0.500 0.000 0.778
Sn: 0.500 0.000 0.222
Sn: 0.000 0.222 0.000

Results
As for the density: 3.66 g/cm³. The polymorph energy (0 for the lowest one) is 0.000 eV/atom. Its density of states at the Fermi level is 3.0 states/eV per cell. The space group is P4_2/mmc (131). Its formation energy from raw total energies is -0.5516 eV/atom.

=====

Below is crystalline K2YMg at its relaxed geometry, with properties calculated at the PBE-GGA level.

Lattice parameters (Å, degrees): 7.392 7.392 3.590 90.00 90.00 121.02
Sites, in units of the cell vectors:
K: 0.000 0.000 0.000
K: 0.500 0.500 0.000
Mg: 0.500 0.000 0.500
Y: 0.000 0.500 0.500

Results
As for the density: 1.89 g/cm³. For the formation energy, the calculation gives 0.4738 eV/atom. Its density of states at the Fermi level is 4.3 states/eV per cell. The space group is Cmmm (65).

=====

Below is crystalline K2ZrScSe4 at its relaxed geometry, with properties calculated at the PBE-GGA level.

Lattice parameters (Å, degrees): 3.951 6.890 8.035 106.44 90.00 90.00
Sites, in units of the cell vectors:
K: 0.500 0.000 0.500
K: 0.000 0.500 0.500
Zr: 0.500 0.500 0.000
Sc: 0.000 0.000 0.000
Se: 0.500 0.233 0.199
Se: 0.500 0.767 0.801
Se: 0.000 0.266 0.798
Se: 0.000 0.734 0.202

Results
As for the density: 4.20 g/cm³. Its density of states at the Fermi level is 3.1 states/eV per cell. The space group is P2/m (10). Its formation energy from raw total energies is -1.4717 eV/atom.

=====

Below is crystalline La3Ni2Ge2 at its relaxed geometry, with properties calculated at the PBE-GGA level.

Lattice parameters (Å, degrees): 4.328 4.342 9.389 103.37 103.33 90.00
Sites, in units of the cell vectors:
La: 0.000 0.000 0.000
La: 0.678 0.178 0.356
La: 0.322 0.822 0.644
Ni: 0.568 0.568 0.136
Ni: 0.432 0.432 0.864
Ge: 0.136 0.636 0.272
Ge: 0.864 0.364 0.728

Results
As for the density: 6.76 g/cm³. For the formation energy, the calculation gives -0.6580 eV/atom. Its density of states at the Fermi level is 6.2 states/eV per cell. The space group is Immm (71).

=====

Below is crystalline BaFeAsBr2 at its relaxed geometry, with properties calculated at the PBE-GGA level.

Lattice parameters (Å, degrees): 5.283 5.283 4.845 90.00 90.00 90.00
Sites, in units of the cell vectors:
As: 0.000 0.000 0.500
Ba: 0.500 0.500 0.500
Br: 0.000 0.500 0.000
Br: 0.500 0.000 0.000
Fe: 0.000 0.000 0.000

Results
As for the density: 5.25 g/cm³. The polymorph energy (0 for the lowest one) is 0.000 eV/atom. Its density of states at the Fermi level is 5.8 states/eV per cell. The space group is P4/mmm (123). Its formation energy from raw total energies is -0.7030 eV/atom.

=====

Below is crystalline Gd2OsSe at its relaxed geometry, with properties calculated at the PBE-GGA level.

Lattice parameters (Å, degrees): 3.480 3.480 7.306 90.00 90.00 90.00
Sites, in units of the cell vectors:
Gd: 0.000 0.000 0.766
Gd: 0.000 0.000 0.234
Os: 0.500 0.500 0.000
Se: 0.500 0.500 0.500

Results
As for the density: 10.96 g/cm³. Its density of states at the Fermi level is 0.6 states/eV per cell. The space group is P4/mmm (123). Its formation energy from raw total energies is -0.8395 eV/atom.

=====

Below is crystalline Sr2Ga2Au3 at its relaxed geometry, with properties calculated at the PBE-GGA level.

Lattice parameters (Å, degrees): 4.467 7.545 10.246 90.00 102.59 90.00
Sites, in units of the cell vectors:
Sr: 0.157 0.250 0.314
Sr: 0.843 0.750 0.686
Sr: 0.947 0.250 0.894
Sr: 0.053 0.750 0.106
Ga: 0.693 0.939 0.385
Ga: 0.307 0.061 0.615
Ga: 0.307 0.439 0.615
Ga: 0.693 0.561 0.385
Au: 0.220 0.750 0.440
Au: 0.780 0.250 0.560
Au: 0.566 0.443 0.132
Au: 0.434 0.557 0.868
Au: 0.434 0.943 0.868
Au: 0.566 0.057 0.132

Results
As for the density: 8.92 g/cm³. For the formation energy, the calculation gives -0.6547 eV/atom. Its density of states at the Fermi level is 6.4 states/eV per cell. The space group is Cmcm (63).

=====

Below is crystalline BaZrRu2 at its relaxed geometry, with properties calculated at the PBE-GGA level.

Lattice parameters (Å, degrees): 4.292 4.094 6.489 71.62 90.00 90.00
Sites, in units of the cell vectors:
Ba: 0.500 0.787 0.802
Ru: 0.000 0.144 0.088
Ru: 0.500 0.059 0.258
Zr: 0.000 0.511 0.352

Results
As for the density: 6.61 g/cm³. The polymorph energy (0 for the lowest one) is 0.149 eV/atom. For the formation energy, the calculation gives 0.2788 eV/atom. Its density of states at the Fermi level is 4.5 states/eV per cell. The space group is Amm2 (38).

=====

Below is crystalline Mn2VHW at its relaxed geometry, with properties calculated at the PBE-GGA level.

Lattice parameters (Å, degrees): 3.664 3.664 4.123 90.00 90.00 90.00
Sites, in units of the cell vectors:
H: 0.000 0.000 0.000
Mn: 0.000 0.500 0.000
Mn: 0.500 0.000 0.000
W: 0.000 0.000 0.500
V: 0.500 0.500 0.500

Results
The calculation puts the uncorrected energy at -43.22 eV for the cell shown. As for the density: 10.37 g/cm³. Its density of states at the Fermi level is 4.4 states/eV per cell. The space group is P4/mmm (123).

=====

Below is crystalline Mg2Be2Cu5Si at its relaxed geometry, with properties calculated at the PBE-GGA level.

Lattice parameters (Å, degrees): 3.180 8.950 8.950 90.00 90.00 90.00
Sites, in units of the cell vectors:
Mg: 0.000 0.674 0.174
Mg: 0.000 0.326 0.826
Mg: 0.000 0.174 0.326
Mg: 0.000 0.826 0.674
Be: 0.000 0.119 0.619
Be: 0.000 0.881 0.381
Be: 0.000 0.619 0.881
Be: 0.000 0.381 0.119
Cu: 0.500 0.205 0.069
Cu: 0.500 0.795 0.931
Cu: 0.500 0.069 0.795
Cu: 0.500 0.705 0.431
Cu: 0.500 0.931 0.205
Cu: 0.500 0.295 0.569
Cu: 0.500 0.569 0.705
Cu: 0.500 0.431 0.295
Cu: 0.500 0.500 0.000
Cu: 0.500 0.000 0.500
Si: 0.000 0.000 0.000
Si: 0.000 0.500 0.500

Results
As for the density: 5.38 g/cm³. Its density of states at the Fermi level is 4.4 states/eV per cell. The space group is P4/mbm (127). Its formation energy from raw total energies is -0.0421 eV/atom.

=====

Below is crystalline Tb2Pr4Nd3 at its relaxed geometry, with properties calculated at the PBE-GGA level.

Lattice parameters (Å, degrees): 3.662 3.662 27.419 90.00 90.00 120.00
Sites, in units of the cell vectors:
Tb: 0.667 0.333 0.087
Tb: 0.667 0.333 0.874
Pr: 0.000 0.000 0.544
Pr: 0.667 0.333 0.433
Pr: 0.667 0.333 0.212
Pr: 0.000 0.000 0.768
Nd: 0.000 0.000 0.983
Nd: 0.000 0.000 0.320
Nd: 0.667 0.333 0.656

Results
As for the density: 6.85 g/cm³. The polymorph energy (0 for the lowest one) is 0.052 eV/atom. For the formation energy, the calculation gives 0.0670 eV/atom. Its density of states at the Fermi level is 16.4 states/eV per cell. The space group is P3m1 (156).

=====

Below is crystalline Li3CoW at its relaxed geometry, with properties calculated at the PBE-GGA level.

Lattice parameters (Å, degrees): 4.044 4.044 4.044 90.00 90.00 90.00
Sites, in units of the cell vectors:
Co: 0.000 0.000 0.000
W: 0.500 0.500 0.500
Li: 0.000 0.500 0.000
Li: 0.000 0.000 0.500
Li: 0.500 0.000 0.000

Results
As for the density: 6.62 g/cm³. The polymorph energy (0 for the lowest one) is 0.000 eV/atom. For the formation energy, the calculation gives 1.3794 eV/atom. Its density of states at the Fermi level is 5.5 states/eV per cell. The space group is Pm-3m (221).

=====

Below is crystalline GaNi2Pt2 at its relaxed geometry, with properties calculated at the PBE-GGA level.

Lattice parameters (Å, degrees): 6.122 6.122 3.745 90.00 90.00 90.00
Sites, in units of the cell vectors:
Ni: 0.364 0.864 0.000
Ni: 0.864 0.636 0.000
Ni: 0.636 0.136 0.000
Ni: 0.136 0.364 0.000
Ga: 0.000 0.000 0.000
Ga: 0.500 0.500 0.000
Pt: 0.161 0.661 0.500
Pt: 0.661 0.839 0.500
Pt: 0.839 0.339 0.500
Pt: 0.339 0.161 0.500

Results
As for the density: 13.66 g/cm³. The polymorph energy (0 for the lowest one) is 0.091 eV/atom. For the formation energy, the calculation gives -0.1298 eV/atom. Its density of states at the Fermi level is 6.8 states/eV per cell. The space group is P4/mbm (127).

=====

Below is crystalline Ho2ReC2 at its relaxed geometry, with properties calculated at the PBE-GGA level.

Lattice parameters (Å, degrees): 5.095 6.559 9.819 90.00 90.00 90.00
Sites, in units of the cell vectors:
Ho: 0.250 0.467 0.784
Ho: 0.750 0.033 0.284
Ho: 0.250 0.967 0.716
Ho: 0.750 0.533 0.216
Ho: 0.250 0.821 0.056
Ho: 0.750 0.679 0.556
Ho: 0.250 0.321 0.444
Ho: 0.750 0.179 0.944
Re: 0.250 0.280 0.133
Re: 0.750 0.220 0.633
Re: 0.250 0.780 0.367
Re: 0.750 0.720 0.867
C: 0.250 0.176 0.949
C: 0.750 0.824 0.051
C: 0.250 0.676 0.551
C: 0.750 0.324 0.449
C: 0.250 0.047 0.259
C: 0.750 0.453 0.759
C: 0.250 0.547 0.241
C: 0.750 0.953 0.741

Results
As for the density: 10.93 g/cm³. For the formation energy, the calculation gives -0.4349 eV/atom. Its density of states at the Fermi level is 9.3 states/eV per cell. The space group is Pnma (62).

=====

Below is crystalline CsSbF3 at its relaxed geometry, with properties calculated at the PBE-GGA level.

Lattice parameters (Å, degrees): 5.994 6.386 8.733 61.99 86.44 94.72
Sites, in units of the cell vectors:
Cs: 0.849 0.685 0.405
Cs: 0.522 0.334 0.040
Sb: 0.374 0.996 0.601
Sb: 0.998 0.023 0.845
F: 0.027 0.143 0.025
F: 0.744 0.232 0.772
F: 0.628 0.787 0.674
F: 0.606 0.247 0.407
F: 0.766 0.771 0.038
F: 0.345 0.876 0.420

Results
As for the density: 3.54 g/cm³. The polymorph energy (0 for the lowest one) is 0.147 eV/atom. Its density of states at the Fermi level is 1.2 states/eV per cell. The space group is P-1 (2). Its formation energy from raw total energies is -2.1629 eV/atom.

=====

Below is crystalline RbPaInI6 at its relaxed geometry, with properties calculated at the PBE-GGA level.

Lattice parameters (Å, degrees): 8.598 8.598 15.229 90.00 90.00 120.00
Sites, in units of the cell vectors:
Rb: 0.000 0.000 0.000
Rb: 0.000 0.000 0.500
Pa: 0.667 0.333 0.250
Pa: 0.333 0.667 0.750
In: 0.333 0.667 0.250
In: 0.667 0.333 0.750
I: 0.653 0.616 0.135
I: 0.963 0.347 0.135
I: 0.347 0.963 0.635
I: 0.037 0.653 0.865
I: 0.384 0.347 0.365
I: 0.963 0.616 0.365
I: 0.616 0.963 0.865
I: 0.653 0.037 0.365
I: 0.037 0.384 0.635
I: 0.384 0.037 0.135
I: 0.616 0.653 0.635
I: 0.347 0.384 0.865

Results
As for the density: 4.06 g/cm³. Its density of states at the Fermi level is 0.8 states/eV per cell. The space group is P-31c (163). Its formation energy from raw total energies is -0.9933 eV/atom.

=====

Below is crystalline Li5Cu3 at its relaxed geometry, with properties calculated at the PBE-GGA level.

Lattice parameters (Å, degrees): 7.611 7.611 4.727 90.00 90.00 120.00
Sites, in units of the cell vectors:
Cu: 0.578 0.000 0.250
Cu: 0.422 0.000 0.750
Cu: 0.000 0.578 0.250
Cu: 0.422 0.422 0.250
Cu: 0.578 0.578 0.750
Cu: 0.000 0.422 0.750
Li: 0.333 0.667 0.000
Li: 0.667 0.333 0.500
Li: 0.667 0.333 0.000
Li: 0.333 0.667 0.500
Li: 0.240 0.000 0.250
Li: 0.760 0.000 0.750
Li: 0.000 0.240 0.250
Li: 0.760 0.760 0.250
Li: 0.240 0.240 0.750
Li: 0.000 0.760 0.750

Results
As for the density: 3.16 g/cm³. The polymorph energy (0 for the lowest one) is 0.039 eV/atom. For the formation energy, the calculation gives 0.0366 eV/atom. Its density of states at the Fermi level is 7.6 states/eV per cell. The space group is P6_3/mcm (193).